{"formula": "InCoH2Ru", "functional": "PBE", "state": "optimized geometry", "lattice": [[-3.351, -1.029, 0.111], [0.431, -1.729, -3.021], [1.472, -4.494, 2.782]], "species": ["In", "H", "Ru", "H", "Co"], "fractional_positions": [[0.000, 0.000, 0.000], [0.000, 0.500, 0.000], [0.000, 0.000, 0.500], [0.500, 0.000, 0.000], [0.500, 0.500, 0.500]], "space_group": "P4/mmm (123)", "e_tot_ev_per_atom": -4.18, "magmom_total_mub_per_atom": 0.667}